1.
Below is a PBEsol-optimized structure of NbMoW2, with properties calculated at the SCAN level.

a b c (Å): 4.4889 4.4889 4.4889
angles (deg): 60.00 60.00 60.00
Positions (direct):
Nb  0.0000  0.0000  0.0000
Mo  0.5000  0.5000  0.5000
W  0.2500  0.2500  0.2500
W  0.7500  0.7500  0.7500

Summary:
As for the energy of formation from the pure elements: -40 meV per atom.

---

2.
Below is a PBEsol-optimized structure of NbMo2W, with properties calculated at the SCAN level.

a b c (Å): 4.4768 4.4768 4.4768
angles (deg): 60.00 60.00 60.00
Positions (direct):
Nb  0.0000  0.0000  0.0000
Mo  0.2500  0.2500  0.2500
Mo  0.7500  0.7500  0.7500
W  0.5000  0.5000  0.5000

Summary:
As for the energy of formation from the pure elements: -99 meV per atom.

---

3.
Below is a PBEsol-optimized structure of ZrNbMo2, with properties calculated at the SCAN level.

a b c (Å): 4.5885 4.5885 4.5885
angles (deg): 60.00 60.00 60.00
Positions (direct):
Zr  0.0000  0.0000  0.0000
Nb  0.5000  0.5000  0.5000
Mo  0.2500  0.2500  0.2500
Mo  0.7500  0.7500  0.7500

Summary:
As for the energy of formation from the pure elements: -10 meV per atom.

---

4.
Below is a PBEsol-optimized structure of NdMoO5, with properties calculated at the SCAN level.

a b c (Å): 5.3784 12.7619 7.0449
angles (deg): 90.00 117.92 90.00
Positions (direct):
Nd  0.1587  0.0657  0.2814
Nd  0.1587  0.4343  0.7814
Nd  0.8413  0.5657  0.2186
Nd  0.8413  0.9343  0.7186
Mo  0.4020  0.1310  0.8448
Mo  0.4020  0.3690  0.3448
Mo  0.5980  0.6310  0.6552
Mo  0.5980  0.8690  0.1552
O  0.0377  0.5540  0.9808
O  0.0377  0.9460  0.4808
O  0.2080  0.0557  0.9539
O  0.2080  0.4443  0.4539
O  0.2503  0.2470  0.2502
O  0.2503  0.2530  0.7502
O  0.2857  0.6583  0.4273
O  0.2857  0.8417  0.9273
O  0.4852  0.5749  0.8388
O  0.4852  0.9251  0.3388
O  0.5148  0.0749  0.6612
O  0.5148  0.4251  0.1612
O  0.7143  0.1583  0.0727
O  0.7143  0.3417  0.5727
O  0.7497  0.7470  0.2498
O  0.7497  0.7530  0.7498
O  0.7920  0.5557  0.5461
O  0.7920  0.9443  0.0461
O  0.9623  0.0540  0.5192
O  0.9623  0.4460  0.0192

Summary:
The calculation puts the formation energy from raw total energies at -2.6269 eV per atom.

---

5.
Below is a PBEsol-optimized structure of Nd2Mo3O12, with properties calculated at the SCAN level.

a b c (Å): 6.8857 6.8857 11.7530
angles (deg): 99.83 99.83 114.16
Positions (direct):
Nd  0.0446  0.2922  0.0896
Nd  0.2922  0.0446  0.5896
Nd  0.7078  0.9554  0.4104
Nd  0.9554  0.7078  0.9104
Mo  0.1270  0.8730  0.2500
Mo  0.2160  0.4633  0.4274
Mo  0.4633  0.2160  0.9274
Mo  0.5367  0.7840  0.0726
Mo  0.7840  0.5367  0.5726
Mo  0.8730  0.1270  0.7500
O  0.0454  0.4401  0.2909
O  0.0818  0.6706  0.1153
O  0.1069  0.1920  0.4563
O  0.1276  0.2036  0.7180
O  0.1920  0.1069  0.9563
O  0.2036  0.1276  0.2180
O  0.2184  0.6634  0.5425
O  0.3294  0.9182  0.3847
O  0.3366  0.7816  0.9575
O  0.4272  0.5185  0.0974
O  0.4401  0.0454  0.7909
O  0.4815  0.5728  0.4026
O  0.5185  0.4272  0.5974
O  0.5599  0.9546  0.2091
O  0.5728  0.4815  0.9026
O  0.6634  0.2184  0.0425
O  0.6706  0.0818  0.6153
O  0.7816  0.3366  0.4575
O  0.7964  0.8724  0.7820
O  0.8080  0.8931  0.0437
O  0.8724  0.7964  0.2820
O  0.8931  0.8080  0.5437
O  0.9182  0.3294  0.8847
O  0.9546  0.5599  0.7091

Summary:
The calculation puts the formation energy from raw total energies at -2.7337 eV per atom.

---

6.
Below is a PBEsol-optimized structure of Nd3MoO7, with properties calculated at the SCAN level.

a b c (Å): 7.5305 7.5435 10.7976
angles (deg): 90.00 90.00 90.00
Positions (direct):
Nd  0.0019  0.0578  0.2689
Nd  0.0036  0.5435  0.7818
Nd  0.2394  0.7134  0.5066
Nd  0.2606  0.2866  0.0066
Nd  0.4964  0.4565  0.2818
Nd  0.4981  0.9422  0.7689
Nd  0.5019  0.4422  0.7311
Nd  0.5036  0.9565  0.2182
Nd  0.7395  0.7866  0.4934
Nd  0.7605  0.2134  0.9934
Nd  0.9964  0.0435  0.7182
Nd  0.9981  0.5578  0.2311
Mo  0.2474  0.7538  0.9991
Mo  0.2526  0.2462  0.4991
Mo  0.7474  0.7462  0.0009
Mo  0.7526  0.2538  0.5009
O  0.0032  0.1921  0.4899
O  0.0048  0.7901  0.3682
O  0.0148  0.2581  0.8683
O  0.2017  0.8827  0.8536
O  0.2153  0.4326  0.6250
O  0.2151  0.4612  0.3793
O  0.2186  0.9473  0.1169
O  0.2814  0.0527  0.6169
O  0.2849  0.5388  0.8793
O  0.2847  0.5674  0.1250
O  0.2983  0.1173  0.3536
O  0.4852  0.7419  0.3683
O  0.4952  0.2099  0.8682
O  0.4968  0.8079  0.9899
O  0.5032  0.3079  0.5101
O  0.5048  0.7099  0.6318
O  0.5148  0.2419  0.1317
O  0.7017  0.6173  0.1464
O  0.7151  0.0388  0.6207
O  0.7153  0.0674  0.3750
O  0.7186  0.5527  0.8831
O  0.7814  0.4473  0.3831
O  0.7847  0.9326  0.8750
O  0.7849  0.9612  0.1207
O  0.7983  0.3827  0.6464
O  0.9852  0.7581  0.6317
O  0.9952  0.2901  0.1318
O  0.9968  0.6921  0.0101

Summary:
The calculation puts the formation energy from raw total energies at -3.2698 eV per atom.

---

Calculated values (g/cm³) of theoretical density for the records, taken in order: 14.4; 12.3; 9.1; 5.0; 5.3; 6.9.